No. 1
Material: SrTl2Mo
Method: DFT, PBE-GGA
State: relaxed

abc: 5.5382 5.5382 3.4319
angles: 90.00 90.00 105.32
Closest atoms and distances in Å follow each position.
Sites, in units of the cell vectors:
Sr 0.0000 0.0000 0.0000  8 Tl 3.26, 2 Mo 3.36, 2 Sr 3.43
Tl 0.0000 0.5000 0.5000  4 Mo 3.26, 4 Sr 3.26, 4 Tl 3.36-3.43
Tl 0.5000 0.0000 0.5000  4 Mo 3.26, 4 Sr 3.26, 4 Tl 3.36-3.43
Mo 0.5000 0.5000 0.0000  8 Tl 3.26, 2 Sr 3.36, 2 Mo 3.43

The size of the total moment comes out at 0.489 μB per atom. As for the space group: No. 65. The calculated formation energy comes out at 620 meV per atom.

No. 2
Material: Ac6HRu2Cl3
Method: DFT, PBE-GGA
State: relaxed

abc: 7.3125 7.3125 8.4333
angles: 98.30 98.30 120.18
Closest atoms and distances in Å follow each position.
Sites, in units of the cell vectors:
Ac 0.0950 0.4326 0.7975  2 Ru 2.92-2.93, 1 H 2.96
Ac 0.2290 0.2290 0.2007  2 Ru 2.90, 1 H 2.95
Ac 0.4326 0.0950 0.7975  2 Ru 2.92-2.93, 1 H 2.96
Ac 0.5674 0.9050 0.2025  2 Ru 2.92-2.93, 1 H 2.96
Ac 0.7710 0.7710 0.7993  2 Ru 2.90, 1 H 2.95
Ac 0.9050 0.5674 0.2025  2 Ru 2.92-2.93, 1 H 2.96
H 0.5000 0.5000 0.0000  6 Ac 2.95-2.96
Ru 0.1658 0.8342 0.0000  6 Ac 2.90-2.93
Ru 0.8342 0.1658 0.0000  6 Ac 2.90-2.93
Cl 0.0000 0.0000 0.5000  6 Ac 3.41-3.43
Cl 0.3185 0.6815 0.5000  6 Ac 3.29-3.56
Cl 0.6815 0.3185 0.5000  6 Ac 3.29-3.56

The size of the total moment comes out at 0.000 μB per atom. As for the space group: No. 12. The value obtained for the total energy is -63.66 eV/f.u.